# 1
# MoSe (GGA-PBE, optimized geometry)
data_MoSe
_cell_length_a 4.0438
_cell_length_b 4.0438
_cell_length_c 5.1736
_cell_angle_alpha 90.00
_cell_angle_beta 90.00
_cell_angle_gamma 120.00
_symmetry_space_group_name_H-M 'P 63/m m c'
_symmetry_Int_Tables_number 194
_symmetry_space_group_name_Hall '-P 6c 2c'
loop_
_atom_site_label
_atom_site_fract_x
_atom_site_fract_y
_atom_site_fract_z
Mo1 0.0000 0.0000 0.0000
Se1 0.3333 0.6667 0.2500
# Fermi-level density of states ... 4.66 states/eV/cell
# DFT total energy ... -28.3 eV for the cell shown

# 2
# Ni2IrOs (GGA-PBE, optimized geometry)
data_Ni2IrOs
_cell_length_a 2.695
_cell_length_b 2.695
_cell_length_c 7.053
_cell_angle_alpha 90.00
_cell_angle_beta 90.00
_cell_angle_gamma 90.00
_symmetry_space_group_name_H-M 'P 4 m m'
_symmetry_Int_Tables_number 99
loop_
_symmetry_equiv_pos_as_xyz
'x,y,z'
'-y,x,z'
'-x,-y,z'
'y,-x,z'
'-x,y,z'
'y,x,z'
'x,-y,z'
'-y,-x,z'
loop_
_atom_site_label
_atom_site_fract_x
_atom_site_fract_y
_atom_site_fract_z
Ni1 0.000 0.000 0.000
Ni2 0.500 0.500 0.231
Ir1 0.500 0.500 0.743
Os1 0.000 0.000 0.478
# Fermi-level density of states ... 5.00 states/eV/cell
# Energy relative to the elements ... 73 meV per atom
# DFT total energy ... -31.4 eV for the cell shown

# 3
# TaWC2 (GGA-PBE, optimized geometry)
data_TaWC2
_cell_length_a 3.030
_cell_length_b 3.088
_cell_length_c 10.166
_cell_angle_alpha 90.00
_cell_angle_beta 90.00
_cell_angle_gamma 90.00
_symmetry_space_group_name_H-M 'A m m 2'
_symmetry_Int_Tables_number 38
loop_
_symmetry_equiv_pos_as_xyz
'x,y,z'
'-x,-y,z'
'-x,y,z'
'x,-y,z'
'x,y+1/2,z+1/2'
'-x,-y+1/2,z+1/2'
'-x,y+1/2,z+1/2'
'x,-y+1/2,z+1/2'
loop_
_atom_site_label
_atom_site_fract_x
_atom_site_fract_y
_atom_site_fract_z
Ta1 0.000 0.000 0.000
W1 0.500 0.000 0.292
C1 0.000 0.000 0.777
C2 0.500 0.000 0.504
# Fermi-level density of states ... 3.77 states/eV/cell
# Energy relative to the elements ... 96 meV per atom
# DFT total energy ... -85.7 eV for the cell shown

# 4
# In4GaBi2 (GGA-PBE, optimized geometry)
data_In4GaBi2
_cell_length_a 9.094
_cell_length_b 9.260
_cell_length_c 4.962
_cell_angle_alpha 90.00
_cell_angle_beta 90.00
_cell_angle_gamma 90.00
_symmetry_space_group_name_H-M 'C m m m'
_symmetry_Int_Tables_number 65
_symmetry_space_group_name_Hall '-C 2 2'
loop_
_atom_site_label
_atom_site_fract_x
_atom_site_fract_y
_atom_site_fract_z
In1 0.000 0.240 0.000
In2 0.250 0.250 0.500
Ga1 0.000 0.000 0.500
Bi1 0.237 0.500 0.000
# Fermi-level density of states ... 5.10 states/eV/cell
# Energy relative to the elements ... 63 meV per atom
# DFT total energy ... -42.6 eV for the cell shown

# 5
# Ac12NiIr5 (GGA-PBE, optimized geometry)
data_Ac12NiIr5
_cell_length_a 7.616
_cell_length_b 13.190
_cell_length_c 14.164
_cell_angle_alpha 90.00
_cell_angle_beta 100.45
_cell_angle_gamma 90.00
_symmetry_space_group_name_H-M 'C 1 2/m 1'
_symmetry_Int_Tables_number 12
loop_
_symmetry_equiv_pos_as_xyz
'x,y,z'
'-x,-y,-z'
'-x,y,-z'
'x,-y,z'
'x+1/2,y+1/2,z'
'-x+1/2,-y+1/2,-z'
'-x+1/2,y+1/2,-z'
'x+1/2,-y+1/2,z'
loop_
_atom_site_label
_atom_site_fract_x
_atom_site_fract_y
_atom_site_fract_z
Ac1 0.129 0.000 0.388
Ac2 0.129 0.333 0.387
Ac3 0.204 0.166 0.111
Ac4 0.205 0.500 0.111
Ni1 0.000 0.000 0.000
Ir1 0.000 0.167 0.500
Ir2 0.000 0.333 0.000
Ir3 0.000 0.500 0.500
# Fermi-level density of states ... 26.96 states/eV/cell
# Energy relative to the elements ... -522 meV per atom
# DFT total energy ... -217.6 eV for the cell shown

# 6
# KBaLa2 (GGA-PBE, optimized geometry)
data_KBaLa2
_cell_length_a 3.904
_cell_length_b 7.070
_cell_length_c 13.812
_cell_angle_alpha 90.00
_cell_angle_beta 90.00
_cell_angle_gamma 90.00
_symmetry_space_group_name_H-M 'I m m 2'
_symmetry_Int_Tables_number 44
loop_
_symmetry_equiv_pos_as_xyz
'x,y,z'
'-x,-y,z'
'-x,y,z'
'x,-y,z'
'x+1/2,y+1/2,z+1/2'
'-x+1/2,-y+1/2,z+1/2'
'-x+1/2,y+1/2,z+1/2'
'x+1/2,-y+1/2,z+1/2'
loop_
_atom_site_label
_atom_site_fract_x
_atom_site_fract_y
_atom_site_fract_z
K1 0.000 0.000 0.000
Ba1 0.000 0.500 0.228
La1 0.000 0.000 0.461
La2 0.000 0.500 0.762
# Fermi-level density of states ... 10.07 states/eV/cell
# Energy relative to the elements ... 339 meV per atom
# DFT total energy ... -23.0 eV for the cell shown

# 7
# Tm2ScPb9 (GGA-PBE, optimized geometry)
data_Tm2ScPb9
_cell_length_a 4.863
_cell_length_b 4.863
_cell_length_c 14.430
_cell_angle_alpha 90.00
_cell_angle_beta 90.00
_cell_angle_gamma 90.00
_symmetry_space_group_name_H-M 'P 4/m m m'
_symmetry_Int_Tables_number 123
_symmetry_space_group_name_Hall '-P 4 2'
loop_
_atom_site_label
_atom_site_fract_x
_atom_site_fract_y
_atom_site_fract_z
Tm1 0.000 0.000 0.167
Sc1 0.000 0.000 0.500
Pb1 0.000 0.500 0.000
Pb2 0.000 0.500 0.337
Pb3 0.500 0.500 0.168
Pb4 0.500 0.500 0.500
# Fermi-level density of states ... 7.68 states/eV/cell
# Energy relative to the elements ... -186 meV per atom
# DFT total energy ... -50.9 eV for the cell shown

# 8
# Sr4Hg5Pt2 (GGA-PBE, optimized geometry)
data_Sr4Hg5Pt2
_cell_length_a 7.875
_cell_length_b 4.241
_cell_length_c 9.703
_cell_angle_alpha 90.00
_cell_angle_beta 90.95
_cell_angle_gamma 90.00
_symmetry_space_group_name_H-M 'P 1 2/m 1'
_symmetry_Int_Tables_number 10
loop_
_symmetry_equiv_pos_as_xyz
'x,y,z'
'-x,-y,-z'
'-x,y,-z'
'x,-y,z'
loop_
_atom_site_label
_atom_site_fract_x
_atom_site_fract_y
_atom_site_fract_z
Sr1 0.204 0.000 0.347
Sr2 0.224 0.000 0.914
Hg1 0.139 0.500 0.629
Hg2 0.437 0.500 0.153
Hg3 0.500 0.500 0.500
Pt1 0.072 0.500 0.131
# Fermi-level density of states ... 5.96 states/eV/cell
# Energy relative to the elements ... -600 meV per atom
# DFT total energy ... -26.9 eV for the cell shown

# 9
# YSnAuI2 (GGA-PBE, optimized geometry)
data_YSnAuI2
_cell_length_a 5.782
_cell_length_b 5.782
_cell_length_c 6.496
_cell_angle_alpha 90.00
_cell_angle_beta 90.00
_cell_angle_gamma 90.00
_symmetry_space_group_name_H-M 'P 4/m m m'
_symmetry_Int_Tables_number 123
_symmetry_space_group_name_Hall '-P 4 2'
loop_
_atom_site_label
_atom_site_fract_x
_atom_site_fract_y
_atom_site_fract_z
Y1 0.000 0.000 0.000
Sn1 0.000 0.000 0.500
Au1 0.500 0.500 0.500
I1 0.000 0.500 0.000
# Fermi-level density of states ... 2.37 states/eV/cell
# DFT total energy ... -17.0 eV for the cell shown

# 10
# TbHo5Th4 (GGA-PBE, optimized geometry)
data_TbHo5Th4
_cell_length_a 17.956
_cell_length_b 3.467
_cell_length_c 10.648
_cell_angle_alpha 90.00
_cell_angle_beta 94.87
_cell_angle_gamma 90.00
_symmetry_space_group_name_H-M 'C 1 2/m 1'
_symmetry_Int_Tables_number 12
loop_
_symmetry_equiv_pos_as_xyz
'x,y,z'
'-x,-y,-z'
'-x,y,-z'
'x,-y,z'
'x+1/2,y+1/2,z'
'-x+1/2,-y+1/2,-z'
'-x+1/2,y+1/2,-z'
'x+1/2,-y+1/2,z'
loop_
_atom_site_label
_atom_site_fract_x
_atom_site_fract_y
_atom_site_fract_z
Tb1 0.000 0.000 0.000
Ho1 0.000 0.000 0.500
Ho2 0.148 0.500 0.241
Ho3 0.189 0.500 0.594
Th1 0.039 0.500 0.752
Th2 0.183 0.000 0.916
# Fermi-level density of states ... 26.42 states/eV/cell
# Energy relative to the elements ... 218 meV per atom
# DFT total energy ... -110.0 eV for the cell shown

# 11
# Th2Zn2Cu15 (GGA-PBE, optimized geometry)
data_Th2Zn2Cu15
_cell_length_a 8.6537
_cell_length_b 8.6537
_cell_length_c 12.7385
_cell_angle_alpha 90.00
_cell_angle_beta 90.00
_cell_angle_gamma 120.00
_symmetry_space_group_name_H-M 'R -3 m'
_symmetry_Int_Tables_number 166
_symmetry_space_group_name_Hall '-R 3 2"'
loop_
_atom_site_label
_atom_site_fract_x
_atom_site_fract_y
_atom_site_fract_z
Th1 0.0000 0.0000 0.1502
Zn1 0.0000 0.0000 0.3993
Cu1 0.0000 0.2974 0.5000
Cu2 0.0000 0.5000 0.0000
Cu3 0.0003 0.5001 0.3472
# Fermi-level density of states ... 39.67 states/eV/cell
# Energy relative to the elements ... -110 meV per atom
# DFT total energy ... -242.7 eV for the cell shown

# 12
# BaAcO (GGA-PBE, optimized geometry)
data_BaAcO
_cell_length_a 3.730
_cell_length_b 3.730
_cell_length_c 6.367
_cell_angle_alpha 90.00
_cell_angle_beta 90.00
_cell_angle_gamma 90.00
_symmetry_space_group_name_H-M 'P 4/m m m'
_symmetry_Int_Tables_number 123
_symmetry_space_group_name_Hall '-P 4 2'
loop_
_atom_site_label
_atom_site_fract_x
_atom_site_fract_y
_atom_site_fract_z
Ba1 0.000 0.000 0.000
Ac1 0.500 0.500 0.500
O1 0.000 0.000 0.500
# Fermi-level density of states ... 2.10 states/eV/cell
# DFT total energy ... -15.8 eV for the cell shown

| no. | ρ (g/cm3) |
| --- | --- |
| 1 | 7.9 |
| 2 | 16.2 |
| 3 | 13.6 |
| 4 | 7.5 |
| 5 | 8.9 |
| 6 | 4.0 |
| 7 | 10.9 |
| 8 | 8.9 |
| 9 | 5.0 |
| 10 | 9.6 |
| 11 | 9.3 |
| 12 | 7.1 |